[1]
Material: KYTaF2
Method: DFT, GGA-PBE
State: relaxed

Computed properties:
The value obtained for the formation energy from raw total energies is -163 meV/atom. As for the volume: 122 Å³ per cell. Its magnetic moment is 2.88 μB per cell.

Lattice parameters (Å, degrees): 4.6002 4.6002 5.7866 90.00 90.00 90.00
With the nearest neighbours (Å) after each atom.
Space group P4/mmm (No. 123)
Symmetry-distinct sites (fractional):
K  0.0000  0.0000  0.0000 [1 per cell]  4 F 2.30
Y  0.5000  0.5000  0.5000 [1 per cell]  4 Ta 3.25
Ta  0.0000  0.0000  0.5000 [1 per cell]  2 K 2.89
F  0.0000  0.5000  0.0000 [2 per cell]  2 K 2.30

***

[2]
Material: K2YTaF
Method: DFT, GGA-PBE
State: relaxed

Computed properties:
The value obtained for the formation energy from raw total energies is 798 meV/atom. As for the volume: 232 Å³ per cell. Its magnetic moment is 2.81 μB per cell.

Lattice parameters (Å, degrees): 6.6058 6.6058 5.3204 90.00 90.00 90.00
With the nearest neighbours (Å) after each atom.
Space group P4/mmm (No. 123)
Symmetry-distinct sites (fractional):
K  0.0000  0.5000  0.0000 [2 per cell]  2 Ta 3.30
Y  0.0000  0.0000  0.5000 [1 per cell]  2 Ta 2.66
Ta  0.0000  0.0000  0.0000 [1 per cell]  2 Y 2.66
F  0.5000  0.5000  0.5000 [1 per cell]  8 K 4.24, 4 Y 4.67

***

[3]
Material: K3TbF6
Method: DFT, GGA-PBE
State: relaxed

Computed properties:
The value obtained for the formation energy from raw total energies is -3349 meV/atom. As for the volume: 391 Å³ per cell. Its magnetic moment is 0.66 μB per cell.

Lattice parameters (Å, degrees): 6.4143 6.6539 11.0908 90.00 124.33 90.00
With the nearest neighbours (Å) after each atom.
Space group P2_1/c (No. 14)
Symmetry-distinct sites (fractional):
K  0.0000  0.0000  0.0000 [2 per cell]  6 F 2.61-2.70
K  0.2241  0.0521  0.7417 [4 per cell]  5 F 2.67-2.91
Tb  0.5000  0.0000  0.5000 [2 per cell]  6 F 2.20-2.22
F  0.1707  0.1780  0.4498 [4 per cell]  1 Tb 2.20
F  0.2528  0.7308  0.4230 [4 per cell]  1 Tb 2.22
F  0.3966  0.0639  0.2769 [4 per cell]  1 Tb 2.21

***

Copy entry 1 word for word.
Material: KYTaF2
Method: DFT, GGA-PBE
State: relaxed

Computed properties:
The value obtained for the formation energy from raw total energies is -163 meV/atom. As for the volume: 122 Å³ per cell. Its magnetic moment is 2.88 μB per cell.

Lattice parameters (Å, degrees): 4.6002 4.6002 5.7866 90.00 90.00 90.00
With the nearest neighbours (Å) after each atom.
Space group P4/mmm (No. 123)
Symmetry-distinct sites (fractional):
K  0.0000  0.0000  0.0000 [1 per cell]  4 F 2.30
Y  0.5000  0.5000  0.5000 [1 per cell]  4 Ta 3.25
Ta  0.0000  0.0000  0.5000 [1 per cell]  2 K 2.89
F  0.0000  0.5000  0.0000 [2 per cell]  2 K 2.30

***

Copy entry 3 word for word.
Material: K3TbF6
Method: DFT, GGA-PBE
State: relaxed

Computed properties:
The value obtained for the formation energy from raw total energies is -3349 meV/atom. As for the volume: 391 Å³ per cell. Its magnetic moment is 0.66 μB per cell.

Lattice parameters (Å, degrees): 6.4143 6.6539 11.0908 90.00 124.33 90.00
With the nearest neighbours (Å) after each atom.
Space group P2_1/c (No. 14)
Symmetry-distinct sites (fractional):
K  0.0000  0.0000  0.0000 [2 per cell]  6 F 2.61-2.70
K  0.2241  0.0521  0.7417 [4 per cell]  5 F 2.67-2.91
Tb  0.5000  0.0000  0.5000 [2 per cell]  6 F 2.20-2.22
F  0.1707  0.1780  0.4498 [4 per cell]  1 Tb 2.20
F  0.2528  0.7308  0.4230 [4 per cell]  1 Tb 2.22
F  0.3966  0.0639  0.2769 [4 per cell]  1 Tb 2.21

***

> What is the magnetic moment in the second record?

2.81 μB per cell

***

> formation energy from raw total energies of number 3 (K3TbF6)?

-3349 meV/atom